# 1
Crystalline ThU3Os3 at its relaxed geometry, computed with PBE.

a = 7.3175 Å, b = 7.3175 Å, c = 7.3175 Å
α = 90.00°, β = 90.00°, γ = 90.00°
Closest atoms and distances in Å follow each position.
Fractional positions:
1 Os 0.5000 0.0000 0.2500  4 U 2.59
2 Os 0.0000 0.7500 0.5000  4 U 2.59
3 Os 0.2500 0.5000 0.0000  4 U 2.59
4 Os 0.7500 0.5000 0.0000  4 U 2.59
5 Os 0.5000 0.0000 0.7500  4 U 2.59
6 Os 0.0000 0.2500 0.5000  4 U 2.59
7 U 0.5000 0.2500 0.0000  4 Os 2.59
8 U 0.0000 0.5000 0.2500  4 Os 2.59
9 U 0.7500 0.0000 0.5000  4 Os 2.59
10 U 0.5000 0.7500 0.0000  4 Os 2.59
11 U 0.2500 0.0000 0.5000  4 Os 2.59
12 U 0.0000 0.5000 0.7500  4 Os 2.59
13 Th 0.0000 0.0000 0.0000  12 U 4.09, 12 Os 4.09
14 Th 0.5000 0.5000 0.5000  12 U 4.09, 12 Os 4.09

Calculated total energy = -68.79 eV per formula unit
Fermi-level density of states = 39.1 states/eV per cell
E_form = 884 meV/atom

***

# 2
Crystalline ThU2Os9 at its relaxed geometry, computed with PBE.

a = 5.2684 Å, b = 5.2684 Å, c = 9.4047 Å
α = 73.73°, β = 73.73°, γ = 60.00°
Closest atoms and distances in Å follow each position.
Fractional positions:
1 Os 0.4135 0.4135 0.2505  7 Os 2.59-2.78
2 Os 0.5865 0.0775 0.7495  7 Os 2.59-2.78
3 Os 0.5865 0.5865 0.7495  7 Os 2.59-2.78
4 Os 0.6625 0.6625 0.0124  6 Os 2.62-2.78
5 Os 0.4135 0.9225 0.2505  7 Os 2.59-2.78
6 Os 0.0775 0.5865 0.7495  7 Os 2.59-2.78
7 Os 0.9225 0.4135 0.2505  7 Os 2.59-2.78
8 Os 0.5000 0.5000 0.5000  6 Os 2.71
9 Os 0.3375 0.3375 0.9876  6 Os 2.62-2.78
10 Th 0.0000 0.0000 0.0000  6 Os 3.04
11 U 0.8591 0.8591 0.4227  12 Os 3.05-3.27, 3 U 3.34
12 U 0.1409 0.1409 0.5773  12 Os 3.05-3.27, 3 U 3.34

Calculated total energy = -131.27 eV per formula unit
Fermi-level density of states = 18.6 states/eV per cell
E_form = -17 meV/atom

***

# 3
Crystalline ThUOs at its relaxed geometry, computed with PBE.

a = 3.2056 Å, b = 4.8401 Å, c = 4.8401 Å
α = 120.00°, β = 90.00°, γ = 90.00°
Closest atoms and distances in Å follow each position.
Fractional positions:
1 Os 0.0250 0.0000 0.0000  3 U 2.95, 3 Th 3.03, 2 Os 3.21
2 U 0.3165 0.6667 0.3333  3 Os 2.95, 3 Th 3.00, 2 U 3.21
3 Th 0.6584 0.3333 0.6667  3 U 3.00, 3 Os 3.03, 2 Th 3.21

Calculated total energy = -29.40 eV per formula unit
Fermi-level density of states = 6.2 states/eV per cell
E_form = 181 meV/atom

***

# 4
Crystalline ThUOs2 at its relaxed geometry, computed with PBE.

a = 3.3896 Å, b = 3.3896 Å, c = 7.2813 Å
α = 90.00°, β = 90.00°, γ = 90.00°
Closest atoms and distances in Å follow each position.
Fractional positions:
1 Th 0.5000 0.5000 0.5000  8 Os 3.21, 4 Th 3.39
2 Os 0.0000 0.0000 0.7927  4 U 2.83, 1 Os 3.02
3 Os 0.0000 0.0000 0.2073  4 U 2.83, 1 Os 3.02
4 U 0.5000 0.5000 0.0000  8 Os 2.83

Calculated total energy = -41.50 eV per formula unit
Fermi-level density of states = 5.2 states/eV per cell
E_form = -83 meV/atom